1.
A plane-wave DFT calculation with SCAN was carried out for a crystal of Tc2SIN relaxed with PBEsol.

Values from the calculation:
- space group = P4/mmm, No. 123

```
data_Tc2SIN
_cell_length_a 3.485
_cell_length_b 4.608
_cell_length_c 4.608
_cell_angle_alpha 90.00
_cell_angle_beta 90.00
_cell_angle_gamma 90.00
_space_group_name_H-M_alt 'P 1'
_space_group_IT_number 1
loop_
_space_group_symop_operation_xyz
'x,y,z'
loop_
_atom_site_label
_atom_site_type_symbol
_atom_site_fract_x
_atom_site_fract_y
_atom_site_fract_z
_atom_site_occupancy
I1 I 0.500 0.500 0.500 1
S1 S 0.000 0.000 0.000 1
Tc1 Tc 0.000 0.000 0.500 1
Tc2 Tc 0.000 0.500 0.000 1
N1 N 0.500 0.000 0.000 1
```



2.
A plane-wave DFT calculation with SCAN was carried out for a crystal of TiS2IN relaxed with PBEsol.

Values from the calculation:
- space group = P4/mmm, No. 123

```
data_TiS2IN
_cell_length_a 3.788
_cell_length_b 4.874
_cell_length_c 4.874
_cell_angle_alpha 90.00
_cell_angle_beta 90.00
_cell_angle_gamma 90.00
_space_group_name_H-M_alt 'P 1'
_space_group_IT_number 1
loop_
_space_group_symop_operation_xyz
'x,y,z'
loop_
_atom_site_label
_atom_site_type_symbol
_atom_site_fract_x
_atom_site_fract_y
_atom_site_fract_z
_atom_site_occupancy
I1 I 0.500 0.500 0.500 1
S1 S 0.000 0.000 0.500 1
S2 S 0.000 0.500 0.000 1
N1 N 0.500 0.000 0.000 1
Ti1 Ti 0.000 0.000 0.000 1
```



3.
A plane-wave DFT calculation with SCAN was carried out for a crystal of TiSIN2 relaxed with PBEsol.

Values from the calculation:
- ΔE to the lowest computed polymorph (eV/atom) = 0.000
- space group = P4/mmm, No. 123

```
data_TiSIN2
_cell_length_a 3.841
_cell_length_b 3.841
_cell_length_c 6.096
_cell_angle_alpha 90.00
_cell_angle_beta 90.00
_cell_angle_gamma 90.00
_space_group_name_H-M_alt 'P 1'
_space_group_IT_number 1
loop_
_space_group_symop_operation_xyz
'x,y,z'
loop_
_atom_site_label
_atom_site_type_symbol
_atom_site_fract_x
_atom_site_fract_y
_atom_site_fract_z
_atom_site_occupancy
I1 I 0.000 0.000 0.500 1
S1 S 0.500 0.500 0.500 1
N1 N 0.000 0.500 0.000 1
N2 N 0.500 0.000 0.000 1
Ti1 Ti 0.000 0.000 0.000 1
```



4.
A plane-wave DFT calculation with SCAN was carried out for a crystal of TiSIN2 relaxed with PBEsol.

Values from the calculation:
- ΔE to the lowest computed polymorph (eV/atom) = 1.045
- space group = P4/mmm, No. 123

```
data_TiSIN2
_cell_length_a 3.685
_cell_length_b 3.685
_cell_length_c 5.960
_cell_angle_alpha 90.00
_cell_angle_beta 90.00
_cell_angle_gamma 90.00
_space_group_name_H-M_alt 'P 1'
_space_group_IT_number 1
loop_
_space_group_symop_operation_xyz
'x,y,z'
loop_
_atom_site_label
_atom_site_type_symbol
_atom_site_fract_x
_atom_site_fract_y
_atom_site_fract_z
_atom_site_occupancy
I1 I 0.000 0.000 0.500 1
S1 S 0.000 0.000 0.000 1
N1 N 0.000 0.500 0.000 1
N2 N 0.500 0.000 0.000 1
Ti1 Ti 0.500 0.500 0.500 1
```



no.,raw formation energy (kJ per mole of atoms)
1,133.87
2,7.52
3,52.08
4,152.90